K2CoI, relaxed, DFT GGA-PBE; SG = I-42d; ΔE_f (raw) = 0.16 eV per atom; E = -0.09386 hartree per atom
1.0
7.943 0.000 0.000
0.000 7.943 0.000
0.000 0.000 15.867
K Co I
8 4 4
Cartesian
1.972 1.986 1.983 K
1.986 5.943 5.950 K
1.986 5.970 13.884 K
1.999 1.986 9.917 K
5.943 5.957 9.917 K
5.957 1.972 13.884 K
5.957 1.999 5.950 K
5.970 5.957 1.983 K
0.000 0.000 0.000 Co
0.000 3.971 3.967 Co
3.971 0.000 11.900 Co
3.971 3.971 7.933 Co
0.000 0.000 7.933 I
0.000 3.971 11.900 I
3.971 0.000 3.967 I
3.971 3.971 0.000 I

***

BeNbP2Br, relaxed, DFT GGA-PBE; SG = P4/mmm; ΔE_f (raw) = 0.69 eV per atom; E = -0.16798 hartree per atom
1.0
4.186 0.000 0.000
0.000 4.186 0.000
0.000 0.000 4.830
Be Nb P Br
1 1 2 1
Cartesian
0.000 0.000 0.000 Be
2.093 2.093 2.415 Nb
0.000 2.093 0.000 P
2.093 0.000 0.000 P
0.000 0.000 2.415 Br

***

AcEr2Al, relaxed, DFT GGA-PBE; SG = Fm-3m; ΔH_f (0 K) = 0.104 eV/atom; E = -0.15214 hartree per atom
1.0
7.751 0.000 0.000
0.000 7.751 0.000
0.000 0.000 7.751
Ac Er Al
4 8 4
Cartesian
0.000 0.000 0.000 Ac
0.000 3.876 3.876 Ac
3.876 0.000 3.876 Ac
3.876 3.876 0.000 Ac
1.938 1.938 1.938 Er
1.938 1.938 5.814 Er
1.938 5.814 1.938 Er
1.938 5.814 5.814 Er
5.814 1.938 1.938 Er
5.814 1.938 5.814 Er
5.814 5.814 1.938 Er
5.814 5.814 5.814 Er
0.000 0.000 3.876 Al
0.000 3.876 0.000 Al
3.876 0.000 0.000 Al
3.876 3.876 3.876 Al

***

VCdCu, relaxed, DFT GGA-PBE; SG = I4mm; ΔH_f (0 K) = 0.231 eV/atom; E = -0.16461 hartree per atom
1.0
2.794 0.000 0.000
0.000 2.794 0.000
0.000 0.000 11.800
V Cd Cu
2 2 2
Cartesian
0.000 0.000 0.000 V
1.397 1.397 5.900 V
0.000 0.000 8.094 Cd
1.397 1.397 2.194 Cd
0.000 0.000 4.225 Cu
1.397 1.397 10.125 Cu